No. 1
Crystalline YTcMo2W at its relaxed geometry. Source: Alexandria via LeMat-Bulk, functional GGA-PBE.

Cell: 4.6705 4.9851 4.6705 Å, 90.00 90.00 90.00°
Closest atoms and distances in Å follow each position.
Atoms (fractional coordinates):
Y1 0.0000 0.5000 0.0000  2 Tc 2.49
Mo1 0.0000 0.0000 0.5000  2 Tc 2.34
Mo2 0.5000 0.0000 0.0000  2 Tc 2.34
Tc1 0.0000 0.0000 0.0000  4 Mo 2.34, 2 Y 2.49
W1 0.5000 0.5000 0.5000  4 Y 3.30, 8 Mo 3.42

No. 2
Crystalline Zn2TcMoW at its relaxed geometry. Source: Alexandria via LeMat-Bulk, functional GGA-PBE.

Cell: 4.6502 4.6177 4.6502 Å, 90.00 90.00 90.00°
Closest atoms and distances in Å follow each position.
Atoms (fractional coordinates):
Zn1 0.0000 0.0000 0.5000  2 Tc 2.33
Zn2 0.5000 0.0000 0.0000  2 Tc 2.33
Mo1 0.0000 0.5000 0.0000  2 Tc 2.31
Tc1 0.0000 0.0000 0.0000  2 Mo 2.31, 4 Zn 2.33
W1 0.5000 0.5000 0.5000  8 Zn 3.28, 4 Mo 3.29

Number 1: formation enthalpy at 0 K 1707 meV per atom. Number 2: formation enthalpy at 0 K 1713 meV per atom.